Crystalline Pm3AsN5 at its relaxed geometry, computed with GGA-PBE.

```
Pm3AsN5
1.0
5.8836 0.0000 -3.2370
-1.7809 5.6076 -3.2370
0.2198 0.3005 7.3652
Pm As N
6 2 10
Cartesian
3.6662 0.9900 -2.7615
0.4366 4.6176 -3.7125
3.6400 3.7938 -4.8555
0.4627 1.8138 -1.6185
1.1356 1.5521 2.0641
3.1870 4.3559 -1.1729
4.0774 1.5521 0.4456
0.2452 4.3559 0.4456
5.1450 3.0113 0.3492
3.9453 1.3716 2.2423
-0.4077 5.8151 1.2958
1.8335 4.1754 1.2958
-0.8224 2.8968 0.5420
0.3773 4.5365 -1.3511
4.7303 0.0930 -0.4045
2.4891 1.7327 -0.4045
2.0514 2.8038 -3.2370
0.0000 0.0000 0.0000
```

Values from the calculation:
**ΔE_f (raw)**: -0.79 eV per atom
**Total DFT energy (no corrections)**: -135.19 eV for the cell shown
**Space group**: I4/mcm (140)
**Total magnetic moment**: 0.097 μB per atom

Crystalline TmPaRuO6 at its relaxed geometry, computed with GGA-PBE.

```
TmPaRuO6
1.0
5.4318 0.0000 0.0000
-2.7159 4.7041 0.0000
0.0000 0.0000 9.6549
Tm Pa Ru O
2 2 2 12
Cartesian
0.0000 0.0000 0.0000
0.0000 0.0000 4.8274
0.0000 3.1360 2.4137
2.7159 1.5680 7.2411
2.7159 1.5680 2.4137
0.0000 3.1360 7.2411
1.8836 3.0406 1.2926
4.4074 1.5525 1.2926
-0.8591 4.5932 6.1200
-1.6915 3.1515 8.3623
1.0244 1.5525 3.5348
3.5482 3.0406 3.5348
0.8591 4.5932 8.3623
3.5750 0.1109 3.5348
-0.8323 1.6635 6.1200
1.8568 0.1109 1.2926
1.6915 3.1515 6.1200
0.8323 1.6635 8.3623
```

Values from the calculation:
**ΔE_f (raw)**: -2.65 eV per atom
**Total DFT energy (no corrections)**: -153.65 eV for the cell shown
**Space group**: P-31c (163)
**Total magnetic moment**: 0.223 μB per atom

Crystalline PrZnCdGa at its relaxed geometry, computed with GGA-PBE.

```
PrZnCdGa
1.0
-4.6799 -0.7132 -1.5736
-1.7693 -4.6323 -0.5463
-3.4537 -1.7388 3.1520
Pr Zn Ga Cd
1 1 1 1
Cartesian
0.0000 0.0000 0.0000
-2.4757 -1.7710 0.2580
-7.4272 -5.3131 0.7741
-4.9515 -3.5421 0.5161
```

Values from the calculation:
**Total DFT energy (no corrections)**: -11.34 eV for the cell shown
**DFT formation energy**: -0.336 eV per atom
**Space group**: F-43m (216)
**Total magnetic moment**: 0.000 μB per atom

Crystalline Ti5Zn2Pt at its relaxed geometry, computed with GGA-PBE.

```
Ti5Zn2Pt
1.0
-1.6839 -2.4015 -2.5246
2.5566 -2.7567 0.9170
-5.6107 -0.1942 6.8931
Ti Zn Pt
5 2 1
Cartesian
0.4364 -2.5791 -0.8038
-4.6854 -3.2608 3.2608
-2.5652 -3.4383 4.9816
-0.0525 -2.0916 2.0247
-2.1728 -1.9141 0.3038
-2.1692 -3.9756 2.2624
-2.5688 -1.3768 3.0230
0.0000 0.0000 0.0000
```

Values from the calculation:
**ΔE to the lowest computed polymorph**: 0 meV per atom
**Total DFT energy (no corrections)**: -50.70 eV for the cell shown
**DFT formation energy**: -0.330 eV per atom
**Space group**: I4/mmm (139)
**Total magnetic moment**: 0.000 μB per atom